No. 1
Entry from the Alexandria database: Pm5Sm2N5 after structural relaxation (PBE-GGA).

Values from the calculation:
energy: -7.236 eV per atom

Cell lengths 12.0916, 3.4948, 12.5136 Å; angles 90.00, 101.55, 90.00 degrees
Space group C2/m (No. 12)
One atom of each set of equivalent atoms:
Pm (0.0000, 0.0000, 0.0000) (multiplicity 2)
Pm (0.1492, 0.0000, 0.5617) (multiplicity 4)
Pm (0.2227, 0.0000, 0.8763) (multiplicity 4)
Sm (0.0653, 0.5000, 0.3163) (multiplicity 4)
N (0.0000, 0.5000, 0.5000) (multiplicity 2)
N (0.1349, 0.5000, 0.9571) (multiplicity 4)
N (0.1891, 0.0000, 0.3839) (multiplicity 4)


No. 2
Entry from the Alexandria database: GaTeMoI2 after structural relaxation (PBE-GGA).

Values from the calculation:
excess energy over the best structure of this formula in the dataset: 591 meV/atom

Cell lengths 5.5259, 5.5259, 5.5769 Å; angles 90.00, 90.00, 90.00 degrees
Space group P4/mmm (No. 123)
One atom of each set of equivalent atoms:
Ga (0.0000, 0.0000, 0.0000) (multiplicity 1)
Te (0.0000, 0.0000, 0.5000) (multiplicity 1)
Mo (0.5000, 0.5000, 0.5000) (multiplicity 1)
I (0.0000, 0.5000, 0.0000) (multiplicity 2)


No. 3
Entry from the Alexandria database: TaHg2Au after structural relaxation (PBE-GGA).

Values from the calculation:
excess energy over the best structure of this formula in the dataset: 210 meV/atom
DFT formation energy: 391 meV per atom

Cell lengths 4.2162, 4.2162, 4.4238 Å; angles 90.00, 90.00, 90.00 degrees
Space group P4/mmm (No. 123)
One atom of each set of equivalent atoms:
Ta (0.0000, 0.0000, 0.0000) (multiplicity 1)
Hg (0.0000, 0.5000, 0.5000) (multiplicity 2)
Au (0.5000, 0.5000, 0.0000) (multiplicity 1)


No. 4
Entry from the Alexandria database: PuThCdAg after structural relaxation (PBE-GGA).

Values from the calculation:
DFT formation energy: 59 meV per atom

Cell lengths 7.5294, 7.5294, 7.5294 Å; angles 90.00, 90.00, 90.00 degrees
Space group F-43m (No. 216)
One atom of each set of equivalent atoms:
Pu (0.0000, 0.0000, 0.0000) (multiplicity 4)
Th (0.0000, 0.0000, 0.5000) (multiplicity 4)
Cd (0.2500, 0.2500, 0.7500) (multiplicity 4)
Ag (0.2500, 0.2500, 0.2500) (multiplicity 4)


No. 5
Entry from the Alexandria database: HgSbAuF2 after structural relaxation (PBE-GGA).

Values from the calculation:
energy: -3.464 eV per atom

Cell lengths 4.3668, 4.3668, 5.5028 Å; angles 90.00, 90.00, 90.00 degrees
Space group P4/mmm (No. 123)
One atom of each set of equivalent atoms:
Hg (0.0000, 0.0000, 0.0000) (multiplicity 1)
Sb (0.5000, 0.5000, 0.5000) (multiplicity 1)
Au (0.5000, 0.5000, 0.0000) (multiplicity 1)
F (0.0000, 0.5000, 0.5000) (multiplicity 2)


No. 6
Entry from the Alexandria database: InPd3Pt7 after structural relaxation (PBE-GGA).

Values from the calculation:
DFT formation energy: 199 meV per atom

Cell lengths 9.4569, 9.6946, 4.8821 Å; angles 90.00, 120.97, 90.00 degrees
Space group C2/m (No. 12)
One atom of each set of equivalent atoms:
In (0.0000, 0.0000, 0.0000) (multiplicity 2)
Pd (0.0000, 0.2664, 0.5000) (multiplicity 4)
Pd (0.0000, 0.5000, 0.0000) (multiplicity 2)
Pt (0.0000, 0.0000, 0.5000) (multiplicity 2)
Pt (0.1714, 0.2582, 0.1712) (multiplicity 8)
Pt (0.1724, 0.5000, 0.6709) (multiplicity 4)


No. 7
Entry from the Alexandria database: Sr2LiGe3Pt4 after structural relaxation (PBE-GGA).

Values from the calculation:
DFT formation energy: -817 meV per atom

Cell lengths 4.3635, 4.3635, 10.4395 Å; angles 90.00, 90.00, 90.00 degrees
Space group P-4m2 (No. 115)
One atom of each set of equivalent atoms:
Sr (0.0000, 0.5000, 0.2455) (multiplicity 2)
Li (0.5000, 0.5000, 0.0000) (multiplicity 1)
Ge (0.0000, 0.0000, 0.0000) (multiplicity 1)
Ge (0.0000, 0.5000, 0.6284) (multiplicity 2)
Pt (0.0000, 0.0000, 0.5000) (multiplicity 1)
Pt (0.0000, 0.5000, 0.8694) (multiplicity 2)
Pt (0.5000, 0.5000, 0.5000) (multiplicity 1)


No. 8
Entry from the Alexandria database: Pr2Nd4Sm2Mg after structural relaxation (PBE-GGA).

Values from the calculation:
DFT formation energy: 13 meV per atom

Cell lengths 6.2832, 6.3107, 8.0981 Å; angles 82.50, 75.00, 80.16 degrees
Space group P-1 (No. 2)
One atom of each set of equivalent atoms:
Pr (0.0565, 0.1090, 0.2809) (multiplicity 2)
Nd (0.1642, 0.3299, 0.8347) (multiplicity 2)
Nd (0.2818, 0.5509, 0.3899) (multiplicity 2)
Sm (0.3890, 0.7757, 0.9405) (multiplicity 2)
Mg (0.5000, 0.0000, 0.5000) (multiplicity 1)


no.,DOS at the Fermi energy (states/eV per cell)
1,16.1
2,3.6
3,3.3
4,50.3
5,1.3
6,26.0
7,6.7
8,12.4